[1]
This record from Alexandria describes a geometry-optimized Tb4Pm2Sm2Y structure. The functional is PBE.

Properties
Crystal system: monoclinic
Mass density: 7.34 g/cm³
SG: C2/m, No. 12
Formation energy: 0.029 eV/f.u.

Lattice parameters (Å, degrees): 3.630 9.597 9.657 115.24 90.00 100.90
Fractional coordinates of all 9 atoms:
Pm (0.666, 0.332, 0.000)
Tb (0.185, 0.370, 0.335)
Sm (0.853, 0.705, 0.335)
Tb (0.815, 0.630, 0.665)
Tb (0.481, 0.962, 0.667)
Y (0.000, 0.000, 0.000)
Sm (0.147, 0.295, 0.665)
Tb (0.519, 0.038, 0.333)
Pm (0.334, 0.668, 0.000)

=====

[2]
This record from Alexandria describes a geometry-optimized KMg2MnCl8 structure. The functional is PBE.

Properties
Crystal system: triclinic
Raw total energy: -3.852 eV per atom
Mass density: 2.20 g/cm³
SG: P-1, No. 2

Lattice parameters (Å, degrees): 6.357 6.154 8.748 80.90 75.90 77.75
Last column: magnetic moment on the atom in μB.
Fractional coordinates of all 12 atoms:
Cl (0.330, 0.328, 0.512)  0.00
Cl (0.779, 0.742, 0.031)  0.00
Cl (0.247, 0.824, 0.790)  -0.01
Cl (0.753, 0.176, 0.210)  -0.01
Cl (0.221, 0.258, 0.969)  0.00
Mg (0.553, 0.555, 0.280)  0.00
Cl (0.781, 0.257, 0.793)  0.04
Cl (0.670, 0.672, 0.488)  0.00
K (0.000, 0.000, 0.500)  0.00
Cl (0.219, 0.743, 0.207)  0.04
Mg (0.447, 0.445, 0.720)  0.00
Mn (0.000, 0.000, 0.000)  3.68

=====

[3]
This record from Alexandria describes a geometry-optimized K2YHBr structure. The functional is PBE.

Properties
Crystal system: tetragonal
Raw total energy: -2.732 eV per atom
Mass density: 2.47 g/cm³
SG: P4/mmm, No. 123

Lattice parameters (Å, degrees): 4.770 7.325 4.770 90.00 90.00 90.00
Fractional coordinates of all 5 atoms:
Br (0.000, 0.500, 0.000)
H (0.000, 0.000, 0.000)
Y (0.500, 0.500, 0.500)
K (0.500, 0.000, 0.000)
K (0.000, 0.000, 0.500)